## LaPmY2Er2 (GGA-PBE)

Data for a geometry-optimized LaPmY2Er2 structure.

Properties
Its crystal system is orthorhombic. The value obtained for the total magnetization is 0.000 μB per formula unit. Its final energy is -5.22 eV/atom. As for the space group: Pnnm. The density of states at the Fermi level is 9.54 states/eV/f.u.

a b c (Å): 5.7044 9.9048 6.9671
angles (deg): 90.00 90.00 90.00
Fractional coordinates of all 12 atoms:
Er 0.0000 0.3338 0.7508
Er 0.0000 0.6662 0.2492
Er 0.5000 0.1662 0.2508
Er 0.5000 0.8338 0.7492
Pm 0.5000 0.5000 0.0000
Pm 0.0000 0.0000 0.5000
La 0.0000 0.0000 0.0000
La 0.5000 0.5000 0.5000
Y 0.5000 0.8329 0.2507
Y 0.5000 0.1671 0.7493
Y 0.0000 0.3329 0.2493
Y 0.0000 0.6671 0.7507

## Y2ErTh6 (GGA-PBE)

Data for a geometry-optimized Y2ErTh6 structure.

Properties
Its crystal system is monoclinic. The value obtained for the total magnetization is 0.000 μB per formula unit. Its final energy is -6.61 eV/atom. As for the space group: C2/m. The density of states at the Fermi level is 11.90 states/eV/f.u.

a b c (Å): 9.2345 7.0121 8.2802
angles (deg): 115.05 45.29 90.00
Fractional coordinates of all 9 atoms:
Er 0.0000 0.0000 0.0000
Th 0.2002 0.8394 0.1520
Th 0.7998 0.6873 0.8480
Th 0.6436 0.3266 0.6531
Th 0.7998 0.1606 0.8480
Th 0.2002 0.3127 0.1520
Th 0.3564 0.6734 0.3469
Y 0.2942 0.2938 0.5877
Y 0.7058 0.7062 0.4123

## CsLaRu2N (GGA-PBE)

Data for a geometry-optimized CsLaRu2N structure.

Properties
Its crystal system is tetragonal. As for the uncorrected formation energy: 2131 meV/atom. The value obtained for the total magnetization is 2.669 μB per formula unit. As for the space group: P4/mmm. The density of states at the Fermi level is 4.84 states/eV/f.u.

a b c (Å): 5.0576 4.5735 5.0576
angles (deg): 90.00 90.00 90.00
Each line ends with the local moment (μB).
Fractional coordinates of all 5 atoms:
La 0.5000 0.5000 0.5000  -0.08
Cs 0.0000 0.0000 0.0000  0.02
N 0.0000 0.5000 0.0000  0.47
Ru 0.0000 0.0000 0.5000  1.04
Ru 0.5000 0.0000 0.0000  1.04

## RbHg3Pb2 (GGA-PBE)

Data for a geometry-optimized RbHg3Pb2 structure.

Properties
Its crystal system is orthorhombic. The value obtained for the total magnetization is 0.000 μB per formula unit. Its final energy is -1.63 eV/atom. As for the space group: Cmcm. The density of states at the Fermi level is 3.25 states/eV/f.u.

a b c (Å): 6.9598 7.6617 7.6617
angles (deg): 99.94 90.00 90.00
Fractional coordinates of all 12 atoms:
Hg 0.7500 0.1461 0.4287
Hg 0.7500 0.4287 0.1461
Hg 0.7500 0.0226 0.0226
Hg 0.2500 0.9774 0.9774
Hg 0.2500 0.5713 0.8539
Hg 0.2500 0.8539 0.5713
Pb 0.5000 0.7793 0.2207
Pb 0.0000 0.2207 0.7793
Pb 0.0000 0.7793 0.2207
Pb 0.5000 0.2207 0.7793
Rb 0.2500 0.3369 0.3369
Rb 0.7500 0.6631 0.6631